An optimized crystal structure of AlOs4Br. Source: Alexandria via LeMat-Bulk, functional GGA-PBE.

Output
Crystal system: cubic
Calculated volume, Å³ per cell: 101.7
Formation energy (no corrections), eV/atom: 1.25
Energy, eV per atom: -7.1349

Lattice parameters (Å, degrees): 5.2396 5.2396 5.2396 60.00 60.00 60.00
With the nearest neighbours (Å) after each atom.
Fractional positions:
Al 0.0000 0.0000 0.0000  12 Os 3.07, 4 Br 3.21
Os 0.3747 0.3747 0.3747  6 Os 2.61-2.63
Os 0.3747 0.3747 0.8758  6 Os 2.61-2.63
Os 0.3747 0.8758 0.3747  6 Os 2.61-2.63
Os 0.8758 0.3747 0.3747  6 Os 2.61-2.63
Br 0.7500 0.7500 0.7500  12 Os 3.07, 4 Al 3.21